# 1
AgC | GGA-PBE | relaxed

a b c (Å): 4.928 4.928 4.928
angles (deg): 90.00 90.00 90.00
Atoms (fractional coordinates):
Ag 0.000 0.000 0.000
Ag 0.000 0.500 0.500
Ag 0.500 0.000 0.500
Ag 0.500 0.500 0.000
C 0.250 0.250 0.750
C 0.250 0.750 0.250
C 0.750 0.250 0.250
C 0.750 0.750 0.750

Calculated values
* space group: F-43m



# 2
AgC | GGA-PBE | relaxed

a b c (Å): 3.218 3.218 5.617
angles (deg): 90.00 90.00 120.00
Atoms (fractional coordinates):
Ag 0.000 0.000 0.000
Ag 0.000 0.000 0.500
C 0.333 0.667 0.250
C 0.667 0.333 0.750

Calculated values
* space group: P6_3/mmc



# 3
Sc2CoAgC | GGA-PBE | relaxed

a b c (Å): 4.629 4.629 3.626
angles (deg): 90.00 90.00 90.00
Atoms (fractional coordinates):
Sc 0.000 0.500 0.000
Sc 0.500 0.000 0.000
Co 0.000 0.000 0.500
Ag 0.500 0.500 0.500
C 0.000 0.000 0.000

Calculated values
* space group: P4/mmm



# 4
Y2CoAgC | GGA-PBE | relaxed

a b c (Å): 5.032 5.032 3.650
angles (deg): 90.00 90.00 90.00
Atoms (fractional coordinates):
Y 0.000 0.500 0.000
Y 0.500 0.000 0.000
Co 0.000 0.000 0.500
Ag 0.500 0.500 0.500
C 0.000 0.000 0.000

Calculated values
* space group: P4/mmm



# 5
CsAgH12C4S4N2O8 | GGA-PBE | relaxed

a b c (Å): 9.955 9.955 16.007
angles (deg): 116.07 116.07 31.24
Atoms (fractional coordinates):
Cs 0.158 0.842 0.750
Cs 0.842 0.158 0.250
Ag 0.000 0.000 0.000
Ag 0.000 0.000 0.500
H 0.021 0.510 0.248
H 0.118 0.521 0.941
H 0.125 0.501 0.176
H 0.136 0.196 0.753
H 0.196 0.136 0.253
H 0.208 0.386 0.032
H 0.264 0.532 0.055
H 0.386 0.208 0.532
H 0.468 0.736 0.445
H 0.479 0.882 0.559
H 0.490 0.979 0.252
H 0.499 0.875 0.324
H 0.501 0.125 0.676
H 0.510 0.021 0.748
H 0.521 0.118 0.441
H 0.532 0.264 0.555
H 0.614 0.792 0.468
H 0.736 0.468 0.945
H 0.792 0.614 0.968
H 0.804 0.864 0.747
H 0.864 0.804 0.247
H 0.875 0.499 0.824
H 0.882 0.479 0.059
H 0.979 0.490 0.752
C 0.048 0.590 0.241
C 0.256 0.421 0.003
C 0.410 0.952 0.259
C 0.421 0.256 0.503
C 0.579 0.744 0.497
C 0.590 0.048 0.741
C 0.744 0.579 0.997
C 0.952 0.410 0.759
S 0.112 0.570 0.470
S 0.285 0.508 0.334
S 0.430 0.888 0.030
S 0.492 0.715 0.166
S 0.508 0.285 0.834
S 0.570 0.112 0.970
S 0.715 0.492 0.666
S 0.888 0.430 0.530
N 0.170 0.646 0.432
N 0.354 0.830 0.068
N 0.646 0.170 0.932
N 0.830 0.354 0.568
O 0.007 0.245 0.446
O 0.034 0.438 0.604
O 0.223 0.527 0.829
O 0.245 0.007 0.946
O 0.302 0.634 0.328
O 0.366 0.698 0.172
O 0.438 0.034 0.104
O 0.473 0.777 0.671
O 0.527 0.223 0.329
O 0.562 0.966 0.896
O 0.634 0.302 0.828
O 0.698 0.366 0.672
O 0.755 0.993 0.054
O 0.777 0.473 0.171
O 0.966 0.562 0.396
O 0.993 0.755 0.554

Calculated values
* space group: C2/c



# 6
CsZnAgC4S4N4 | GGA-PBE | relaxed

a b c (Å): 9.020 16.687 11.780
angles (deg): 90.00 130.68 90.00
Atoms (fractional coordinates):
Cs 0.244 0.124 0.354
Cs 0.244 0.376 0.854
Cs 0.756 0.624 0.146
Cs 0.756 0.876 0.646
Zn 0.195 0.052 0.787
Zn 0.195 0.448 0.287
Zn 0.805 0.552 0.713
Zn 0.805 0.948 0.213
Ag 0.236 0.740 0.660
Ag 0.236 0.760 0.160
Ag 0.764 0.240 0.840
Ag 0.764 0.260 0.340
C 0.182 0.181 0.972
C 0.182 0.319 0.472
C 0.208 0.590 0.023
C 0.208 0.910 0.523
C 0.245 0.626 0.384
C 0.245 0.874 0.884
C 0.491 0.582 0.743
C 0.491 0.918 0.243
C 0.509 0.082 0.757
C 0.509 0.418 0.257
C 0.755 0.126 0.116
C 0.755 0.374 0.616
C 0.792 0.090 0.477
C 0.792 0.410 0.977
C 0.818 0.681 0.528
C 0.818 0.819 0.028
S 0.147 0.249 0.051
S 0.147 0.251 0.551
S 0.265 0.721 0.412
S 0.265 0.779 0.912
S 0.319 0.594 0.752
S 0.319 0.906 0.252
S 0.395 0.629 0.180
S 0.395 0.871 0.680
S 0.605 0.129 0.320
S 0.605 0.371 0.820
S 0.681 0.094 0.748
S 0.681 0.406 0.248
S 0.735 0.221 0.088
S 0.735 0.279 0.588
S 0.853 0.749 0.449
S 0.853 0.751 0.949
N 0.073 0.560 0.909
N 0.073 0.940 0.409
N 0.211 0.133 0.915
N 0.211 0.367 0.415
N 0.221 0.556 0.361
N 0.221 0.944 0.861
N 0.382 0.074 0.760
N 0.382 0.426 0.260
N 0.618 0.574 0.740
N 0.618 0.926 0.240
N 0.779 0.056 0.139
N 0.779 0.444 0.639
N 0.789 0.633 0.585
N 0.789 0.867 0.085
N 0.927 0.060 0.591
N 0.927 0.440 0.091

Calculated values
* space group: P2_1/c



# 7
RbCuAg2C4N4 | GGA-PBE | relaxed

a b c (Å): 7.945 7.219 7.719
angles (deg): 90.00 102.49 90.00
Atoms (fractional coordinates):
Rb 0.000 0.246 0.250
Rb 0.000 0.754 0.750
Cu 0.000 0.257 0.750
Cu 0.000 0.743 0.250
Ag 0.500 0.000 0.000
Ag 0.500 0.000 0.500
Ag 0.500 0.437 0.250
Ag 0.500 0.563 0.750
C 0.286 0.075 0.590
C 0.286 0.925 0.090
C 0.288 0.421 0.046
C 0.288 0.579 0.546
C 0.712 0.421 0.454
C 0.712 0.579 0.954
C 0.714 0.075 0.910
C 0.714 0.925 0.410
N 0.163 0.122 0.640
N 0.163 0.878 0.140
N 0.165 0.393 0.933
N 0.165 0.607 0.433
N 0.835 0.393 0.567
N 0.835 0.607 0.067
N 0.837 0.122 0.860
N 0.837 0.878 0.360

Calculated values
* space group: P2/c



# 8
DyAgH2C2SO9 | GGA-PBE | relaxed

a b c (Å): 7.585 7.585 8.940
angles (deg): 113.26 113.26 53.49
Atoms (fractional coordinates):
Dy 0.244 0.244 0.261
Dy 0.756 0.756 0.739
Ag 0.083 0.083 0.668
Ag 0.917 0.917 0.332
H 0.308 0.308 0.982
H 0.421 0.421 0.148
H 0.579 0.579 0.852
H 0.692 0.692 0.018
C 0.017 0.017 0.929
C 0.390 0.610 0.500
C 0.610 0.390 0.500
C 0.983 0.983 0.071
S 0.331 0.331 0.707
S 0.669 0.669 0.293
O 0.058 0.058 0.219
O 0.119 0.119 0.970
O 0.130 0.479 0.785
O 0.216 0.602 0.412
O 0.258 0.258 0.525
O 0.339 0.339 0.103
O 0.398 0.784 0.588
O 0.447 0.447 0.743
O 0.479 0.130 0.785
O 0.521 0.870 0.215
O 0.553 0.553 0.257
O 0.602 0.216 0.412
O 0.661 0.661 0.897
O 0.742 0.742 0.475
O 0.784 0.398 0.588
O 0.870 0.521 0.215
O 0.881 0.881 0.030
O 0.942 0.942 0.781

Calculated values
* space group: C2/m



# 9
Er2AgWC3 | GGA-PBE | relaxed

a b c (Å): 11.685 3.432 5.683
angles (deg): 90.00 111.49 90.00
Atoms (fractional coordinates):
Er 0.000 0.000 0.000
Er 0.221 0.000 0.691
Er 0.500 0.500 0.000
Er 0.721 0.500 0.691
Ag 0.243 0.500 0.160
Ag 0.743 0.000 0.160
W 0.438 0.000 0.487
W 0.938 0.500 0.487
C 0.093 0.500 0.789
C 0.353 0.500 0.574
C 0.389 0.000 0.112
C 0.593 0.000 0.789
C 0.853 0.000 0.574
C 0.889 0.500 0.112

Calculated values
* space group: Cm



# 10
AgH8C4N8F | GGA-PBE | relaxed

a b c (Å): 6.032 7.357 9.433
angles (deg): 93.85 95.31 98.52
Atoms (fractional coordinates):
Ag 0.135 0.364 0.420
Ag 0.865 0.636 0.580
H 0.036 0.274 0.057
H 0.086 0.003 0.801
H 0.103 0.498 0.129
H 0.111 0.994 0.615
H 0.213 0.855 0.114
H 0.321 0.101 0.025
H 0.377 0.739 0.232
H 0.400 0.814 0.905
H 0.600 0.186 0.095
H 0.623 0.261 0.768
H 0.679 0.899 0.975
H 0.787 0.145 0.886
H 0.889 0.006 0.385
H 0.897 0.502 0.871
H 0.914 0.997 0.199
H 0.964 0.726 0.943
C 0.141 0.872 0.323
C 0.299 0.512 0.752
C 0.369 0.367 0.116
C 0.394 0.786 0.492
C 0.606 0.214 0.508
C 0.631 0.633 0.884
C 0.701 0.488 0.248
C 0.859 0.128 0.677
N 0.041 0.047 0.702
N 0.119 0.519 0.692
N 0.157 0.391 0.076
N 0.202 0.840 0.461
N 0.256 0.824 0.217
N 0.434 0.206 0.083
N 0.434 0.261 0.469
N 0.492 0.488 0.811
N 0.508 0.512 0.189
N 0.566 0.739 0.531
N 0.566 0.794 0.917
N 0.744 0.176 0.783
N 0.798 0.160 0.539
N 0.843 0.609 0.924
N 0.881 0.481 0.308
N 0.959 0.953 0.298
F 0.168 0.904 0.944
F 0.832 0.096 0.056

Calculated values
* space group: P-1



# 11
AgH4C5SN2O3F3 | GGA-PBE | relaxed

a b c (Å): 8.669 8.669 11.497
angles (deg): 92.62 92.62 76.63
Atoms (fractional coordinates):
Ag 0.183 0.312 0.453
Ag 0.312 0.183 0.953
Ag 0.688 0.817 0.047
Ag 0.817 0.688 0.547
H 0.030 0.800 0.147
H 0.091 0.739 0.408
H 0.200 0.970 0.353
H 0.261 0.909 0.092
H 0.320 0.441 0.140
H 0.321 0.555 0.330
H 0.441 0.320 0.640
H 0.445 0.679 0.170
H 0.555 0.321 0.830
H 0.559 0.680 0.360
H 0.679 0.445 0.670
H 0.680 0.559 0.860
H 0.739 0.091 0.908
H 0.800 0.030 0.647
H 0.909 0.261 0.592
H 0.970 0.200 0.853
C 0.017 0.891 0.082
C 0.051 0.856 0.449
C 0.098 0.626 0.841
C 0.109 0.983 0.418
C 0.144 0.949 0.051
C 0.374 0.902 0.659
C 0.400 0.468 0.078
C 0.402 0.531 0.406
C 0.468 0.400 0.578
C 0.469 0.598 0.094
C 0.531 0.402 0.906
C 0.532 0.600 0.422
C 0.598 0.469 0.594
C 0.600 0.532 0.922
C 0.626 0.098 0.341
C 0.856 0.051 0.949
C 0.891 0.017 0.582
C 0.902 0.374 0.159
C 0.949 0.144 0.551
C 0.983 0.109 0.918
S 0.072 0.462 0.737
S 0.462 0.072 0.237
S 0.538 0.928 0.763
S 0.928 0.538 0.263
N 0.059 0.127 0.470
N 0.127 0.059 0.970
N 0.371 0.432 0.483
N 0.432 0.371 0.983
N 0.568 0.629 0.017
N 0.629 0.568 0.517
N 0.873 0.941 0.030
N 0.941 0.873 0.530
O 0.077 0.533 0.624
O 0.082 0.566 0.236
O 0.207 0.332 0.761
O 0.332 0.207 0.261
O 0.434 0.918 0.264
O 0.467 0.923 0.876
O 0.533 0.077 0.124
O 0.566 0.082 0.736
O 0.668 0.793 0.739
O 0.793 0.668 0.239
O 0.918 0.434 0.764
O 0.923 0.467 0.376
F 0.001 0.765 0.809
F 0.066 0.597 0.950
F 0.235 0.999 0.691
F 0.249 0.645 0.842
F 0.355 0.751 0.658
F 0.403 0.934 0.550
F 0.597 0.066 0.450
F 0.645 0.249 0.342
F 0.751 0.355 0.158
F 0.765 0.001 0.309
F 0.934 0.403 0.050
F 0.999 0.235 0.191

Calculated values
* space group: C2/c



| no. | DFT total energy (eV per atom) |
| --- | --- |
| 1 | -3.771 |
| 2 | -3.867 |
| 3 | -6.771 |
| 4 | -6.795 |
| 5 | -5.357 |
| 6 | -6.185 |
| 7 | -6.513 |
| 8 | -6.614 |
| 9 | -7.529 |
| 10 | -6.358 |
| 11 | -6.016 |